# 1
# Ba2CoOsS6

An optimized crystal structure of Ba2CoOsS6 (GGA-PBE, OQMD via LeMat-Bulk).

Cell: 6.6723 6.6723 6.6723 Å, 60.00 60.00 60.00°
Atoms (fractional coordinates):
Ba 0.2500 0.2500 0.2500
Ba 0.7500 0.7500 0.7500
Co 0.0000 0.0000 0.0000
Os 0.5000 0.5000 0.5000
S 0.2472 0.2472 0.7528
S 0.2472 0.7528 0.2472
S 0.2472 0.7528 0.7528
S 0.7528 0.2472 0.2472
S 0.7528 0.2472 0.7528
S 0.7528 0.7528 0.2472

* V: 210.0 Å³/f.u.
* M_tot: 3.629 μB/f.u.
* crystal system: cubic
* E above lowest polymorph: 112 meV/atom

# 2
# Ba2CoOsS6

An optimized crystal structure of Ba2CoOsS6 (GGA-PBE, OQMD via LeMat-Bulk).

Cell: 7.6676 7.6676 7.6676 Å, 134.57 134.57 66.19°
Atoms (fractional coordinates):
Ba 0.2500 0.7500 0.5000
Ba 0.7500 0.2500 0.5000
Co 0.0000 0.0000 0.0000
Os 0.5000 0.5000 0.0000
S 0.1274 0.6482 0.7756
S 0.3088 0.3088 0.0000
S 0.3518 0.1274 0.4792
S 0.6482 0.8726 0.5208
S 0.6912 0.6912 0.0000
S 0.8726 0.3518 0.2244

* V: 225.2 Å³/f.u.
* M_tot: 1.528 μB/f.u.
* crystal system: tetragonal
* E above lowest polymorph: 0 meV/atom

# 3
# BaCo8P4

An optimized crystal structure of BaCo8P4 (GGA-PBE, OQMD via LeMat-Bulk).

Cell: 7.1410 7.1410 7.1410 Å, 93.66 93.66 150.72°
Atoms (fractional coordinates):
Ba 0.0000 0.0000 0.0000
Co 0.0106 0.6266 0.6372
Co 0.2349 0.3429 0.5778
Co 0.3429 0.7651 0.1080
Co 0.3734 0.0106 0.3840
Co 0.6266 0.9894 0.6160
Co 0.6571 0.2349 0.8920
Co 0.7651 0.6571 0.4222
Co 0.9894 0.3734 0.3628
P 0.2283 0.5783 0.8065
P 0.4217 0.2283 0.6500
P 0.5783 0.7717 0.3500
P 0.7717 0.4217 0.1935

* V: 172.3 Å³/f.u.
* M_tot: 0.039 μB/f.u.
* total energy: -0.4948 Ry per atom
* crystal system: tetragonal

# 4
# BaCoP

An optimized crystal structure of BaCoP (GGA-PBE, OQMD via LeMat-Bulk).

Cell: 6.2214 7.3499 7.3596 Å, 90.00 126.25 90.00°
Atoms (fractional coordinates):
Ba 0.1311 0.9995 0.3155
Ba 0.1311 0.5005 0.8155
Ba 0.8689 0.0005 0.6845
Ba 0.8689 0.4995 0.1845
Co 0.4997 0.1197 0.1193
Co 0.4997 0.3803 0.6193
Co 0.5003 0.6197 0.3807
Co 0.5003 0.8803 0.8807
P 0.4995 0.1728 0.8271
P 0.4995 0.3272 0.3271
P 0.5005 0.6728 0.6729
P 0.5005 0.8272 0.1729

* V: 67.8 Å³/f.u.
* M_tot: 0.003 μB/f.u.
* total energy: -0.4106 Ry per atom
* crystal system: monoclinic

# 5
# BaZnCoP2

An optimized crystal structure of BaZnCoP2 (GGA-PBE, OQMD via LeMat-Bulk).

Cell: 6.8341 6.8341 6.8341 Å, 146.33 146.33 48.35°
Atoms (fractional coordinates):
Ba 0.0000 0.0000 0.0000
Zn 0.7500 0.2500 0.5000
Co 0.2500 0.7500 0.5000
P 0.3507 0.3507 0.0000
P 0.6493 0.6493 0.0000

* V: 97.7 Å³/f.u.
* M_tot: 0.005 μB/f.u.
* total energy: -0.3523 Ry per atom
* crystal system: tetragonal

# 6
# BaCo3Pb6

An optimized crystal structure of BaCo3Pb6 (GGA-PBE, OQMD via LeMat-Bulk).

Cell: 14.0297 14.0297 4.4341 Å, 90.00 90.00 145.51°
Atoms (fractional coordinates):
Ba 0.0885 0.9115 0.7500
Ba 0.9115 0.0885 0.2500
Co 0.0934 0.5332 0.2500
Co 0.4636 0.5364 0.2500
Co 0.4668 0.9066 0.2500
Co 0.5332 0.0934 0.7500
Co 0.5364 0.4636 0.7500
Co 0.9066 0.4668 0.7500
Pb 0.0283 0.3751 0.7500
Pb 0.2486 0.7514 0.7500
Pb 0.2580 0.3491 0.7500
Pb 0.3491 0.2580 0.2500
Pb 0.3643 0.6357 0.2500
Pb 0.3751 0.0283 0.2500
Pb 0.6249 0.9717 0.7500
Pb 0.6357 0.3643 0.7500
Pb 0.6509 0.7420 0.7500
Pb 0.7420 0.6509 0.2500
Pb 0.7514 0.2486 0.2500
Pb 0.9717 0.6249 0.2500

* V: 247.1 Å³/f.u.
* M_tot: 0.018 μB/f.u.
* total energy: -0.3305 Ry per atom
* crystal system: orthorhombic

Q: Number 5 is which compound?
A: BaZnCoP2

Q: Number 4 is which compound?
A: BaCoP

Q: Among the records above, which one has the lowest V?
A: BaCoP

Q: M_tot of number 6 (BaCo3Pb6)?
A: 0.018 μB/f.u.